Here is an optimized crystal structure of BaNdSm2Se4 from Alexandria via LeMat-Bulk. Energies are from PBE-GGA.

Results
D(E_F), states/eV per cell: 3.284
Uncorrected energy, eV/atom: -5.59
Raw formation energy, meV per atom: -1834

abc: 4.2600 7.4960 7.4728
angles: 71.18 90.00 90.00
Sites, in units of the cell vectors:
Ba: 0.5000 0.5000 0.0000
Nd: 0.0000 0.5000 0.5000
Sm: 0.0000 0.0000 0.0000
Sm: 0.5000 0.0000 0.5000
Se: 0.0000 0.7712 0.7325
Se: 0.0000 0.2288 0.2675
Se: 0.5000 0.7627 0.2555
Se: 0.5000 0.2373 0.7445